No. 1
# NaSr3Pd GGA-PBE relaxed
data_NaSr3Pd
_chemical_formula_sum 'Na2 Sr6 Pd2'
_symmetry_space_group_name_H-M 'P 1'
_symmetry_Int_Tables_number 1
_symmetry_space_group_name_Hall 'P 1'
_cell_length_a 8.492
_cell_length_b 8.492
_cell_length_c 8.492
_cell_angle_alpha 60.04
_cell_angle_beta 60.04
_cell_angle_gamma 60.04
loop_
_atom_site_label
_atom_site_type_symbol
_atom_site_fract_x
_atom_site_fract_y
_atom_site_fract_z
Na1 Na 0.250 0.250 0.250
Na2 Na 0.750 0.750 0.750
Sr1 Sr 0.244 0.750 0.256
Sr2 Sr 0.250 0.744 0.756
Sr3 Sr 0.256 0.244 0.750
Sr4 Sr 0.744 0.756 0.250
Sr5 Sr 0.750 0.256 0.244
Sr6 Sr 0.756 0.250 0.744
Pd1 Pd 0.000 0.000 0.000
Pd2 Pd 0.500 0.500 0.500
# E above lowest polymorph in eV/atom: 0.000
# Symmetry: R-3c (167)
# VASP energy in eV per atom: -2.597


No. 2
# CsGeTe4Au3 GGA-PBE relaxed
data_CsGeTe4Au3
_chemical_formula_sum 'Cs1 Ge1 Te4 Au3'
_symmetry_space_group_name_H-M 'P 1'
_symmetry_Int_Tables_number 1
_symmetry_space_group_name_Hall 'P 1'
_cell_length_a 7.022
_cell_length_b 7.022
_cell_length_c 7.022
_cell_angle_alpha 90.00
_cell_angle_beta 90.00
_cell_angle_gamma 90.00
loop_
_atom_site_label
_atom_site_type_symbol
_atom_site_fract_x
_atom_site_fract_y
_atom_site_fract_z
Cs1 Cs 0.000 0.000 0.000
Ge1 Ge 0.500 0.500 0.500
Te1 Te 0.289 0.289 0.289
Te2 Te 0.289 0.711 0.711
Te3 Te 0.711 0.289 0.711
Te4 Te 0.711 0.711 0.289
Au1 Au 0.000 0.500 0.500
Au2 Au 0.500 0.000 0.500
Au3 Au 0.500 0.500 0.000
# E above lowest polymorph in eV/atom: 0.167
# Symmetry: P-43m (215)
# VASP energy in eV per atom: -3.173


No. 3
# RePb2O5 GGA-PBE relaxed
data_RePb2O5
_chemical_formula_sum 'Re2 Pb4 O10'
_symmetry_space_group_name_H-M 'P 1'
_symmetry_Int_Tables_number 1
_symmetry_space_group_name_Hall 'P 1'
_cell_length_a 7.017
_cell_length_b 7.017
_cell_length_c 7.434
_cell_angle_alpha 119.97
_cell_angle_beta 119.97
_cell_angle_gamma 47.77
loop_
_atom_site_label
_atom_site_type_symbol
_atom_site_fract_x
_atom_site_fract_y
_atom_site_fract_z
Re1 Re 0.000 0.000 0.000
Re2 Re 0.000 0.000 0.500
Pb1 Pb 0.333 0.335 0.998
Pb2 Pb 0.335 0.333 0.498
Pb3 Pb 0.665 0.667 0.502
Pb4 Pb 0.667 0.665 0.002
O1 O 0.055 0.288 0.130
O2 O 0.113 0.887 0.750
O3 O 0.241 0.648 0.369
O4 O 0.288 0.055 0.630
O5 O 0.352 0.759 0.131
O6 O 0.648 0.241 0.869
O7 O 0.712 0.945 0.370
O8 O 0.759 0.352 0.631
O9 O 0.887 0.113 0.250
O10 O 0.945 0.712 0.870
# Spin magnetization in Bohr magnetons per cell: 0.04
# Symmetry: C2/c (15)
# VASP energy in eV per atom: -6.906


No. 4
# ZrBPd GGA-PBE relaxed
data_ZrBPd
_chemical_formula_sum 'Zr1 B1 Pd1'
_symmetry_space_group_name_H-M 'P 1'
_symmetry_Int_Tables_number 1
_symmetry_space_group_name_Hall 'P 1'
_cell_length_a 4.238
_cell_length_b 4.238
_cell_length_c 4.238
_cell_angle_alpha 60.00
_cell_angle_beta 60.00
_cell_angle_gamma 60.00
loop_
_atom_site_label
_atom_site_type_symbol
_atom_site_fract_x
_atom_site_fract_y
_atom_site_fract_z
Zr1 Zr 0.000 0.000 0.000
B1 B 0.750 0.750 0.750
Pd1 Pd 0.250 0.250 0.250
# Spin magnetization in Bohr magnetons per cell: 0.00
# Symmetry: F-43m (216)
# VASP energy in eV per atom: -6.287